VASP calculation (PBE-GGA) on an optimized crystal structure of ReTePdN2.

a b c (Å): 3.829 3.829 5.898
angles (deg): 90.00 90.00 90.00
Fractional coordinates of all 5 atoms:
Re 0.000 0.000 0.000
Te 0.000 0.000 0.500
Pd 0.500 0.500 0.500
N 0.000 0.500 0.000
N 0.500 0.000 0.000

SG: No. 123
Calculated volume in Å³/cell: 86
ΔE_f (raw) in eV per formula unit: 2.26
Raw total energy in eV/cell: -35.17
Density in Mg/m³: 8.608
Magnetic moment in μB/f.u.: 0.0